Entry 1:
A plane-wave DFT calculation with PBE was carried out for an optimized crystal structure of MgCdRe2O8.

total energy	-87.14	eV/f.u.
formation energy (no corrections)	-1.673	eV/atom

Cell: 5.8745 5.8745 8.2879 Å, 90.00 90.00 120.00°
Closest atoms and distances in Å follow each position.
Sites, in units of the cell vectors:
1 Mg 0.0000 0.0000 0.0000  6 O 2.09
2 Cd 0.0000 0.0000 0.5000  12 O 3.42-3.46
3 Re 0.3333 0.6667 0.2102  4 O 1.73-1.76
4 Re 0.6667 0.3333 0.7898  4 O 1.73-1.76
5 O 0.1654 0.3378 0.1434  1 Re 1.76
6 O 0.1725 0.8346 0.1434  1 Re 1.76
7 O 0.3333 0.6667 0.4193  1 Re 1.73
8 O 0.3378 0.1725 0.8566  1 Re 1.76
9 O 0.6622 0.8275 0.1434  1 Re 1.76
10 O 0.6667 0.3333 0.5807  1 Re 1.73
11 O 0.8275 0.1654 0.8566  1 Re 1.76
12 O 0.8346 0.6622 0.8566  1 Re 1.76


Entry 2:
A plane-wave DFT calculation with PBE was carried out for an optimized crystal structure of MgCd2SO.

D(E_F)	0.80	states/eV/cell
total energy	-13.38	eV/f.u.
formation energy (no corrections)	-0.174	eV/atom

Cell: 4.2346 4.2346 6.6569 Å, 90.00 90.00 90.00°
Closest atoms and distances in Å follow each position.
Sites, in units of the cell vectors:
1 Mg 0.0000 0.0000 0.0000  4 S 2.99
2 Cd 0.0000 0.5000 0.5000  2 O 2.12
3 Cd 0.5000 0.0000 0.5000  2 O 2.12
4 S 0.5000 0.5000 0.0000  4 Mg 2.99, 2 O 3.33
5 O 0.5000 0.5000 0.5000  4 Cd 2.12


Entry 3:
A plane-wave DFT calculation with PBE was carried out for an optimized crystal structure of MgCdS2O8.

D(E_F)	0.00	states/eV/cell
total energy	-69.66	eV/f.u.
formation energy (no corrections)	-1.603	eV/atom

Cell: 5.1693 5.1693 6.4874 Å, 90.00 90.00 120.00°
Closest atoms and distances in Å follow each position.
Sites, in units of the cell vectors:
1 Mg 0.0000 0.0000 0.0000  6 O 2.08
2 Cd 0.0000 0.0000 0.5000  6 O 2.46
3 S 0.3333 0.6667 0.7128  4 O 1.46-1.50
4 S 0.6667 0.3333 0.2872  4 O 1.46-1.50
5 O 0.1758 0.3516 0.7907  1 S 1.50
6 O 0.1758 0.8242 0.7907  1 S 1.50
7 O 0.3333 0.6667 0.4877  1 S 1.46
8 O 0.3516 0.1758 0.2093  1 S 1.50
9 O 0.6484 0.8242 0.7907  1 S 1.50
10 O 0.6667 0.3333 0.5123  1 S 1.46
11 O 0.8242 0.1758 0.2093  1 S 1.50
12 O 0.8242 0.6484 0.2093  1 S 1.50


Entry 4:
A plane-wave DFT calculation with PBE was carried out for an optimized crystal structure of MgCdSb2O8.

D(E_F)	7.10	states/eV/cell
total energy	-61.52	eV/f.u.
formation energy (no corrections)	-0.925	eV/atom

Cell: 5.4466 5.4466 5.9391 Å, 90.00 90.00 120.00°
Closest atoms and distances in Å follow each position.
Sites, in units of the cell vectors:
1 Mg 0.0000 0.0000 0.0000  6 O 2.05
2 Cd 0.0000 0.0000 0.5000  6 O 2.73, 2 Mg 2.97
3 Sb 0.3333 0.6667 0.9286  7 O 2.03-2.12
4 Sb 0.6667 0.3333 0.0714  7 O 2.03-2.12
5 O 0.0459 0.3553 0.1570  1 Mg 2.05, 2 Sb 2.07-2.12
6 O 0.3094 0.9541 0.1570  1 Mg 2.05, 2 Sb 2.07-2.12
7 O 0.3333 0.6667 0.5862  1 Sb 2.03
8 O 0.3553 0.3094 0.8430  1 Mg 2.05, 2 Sb 2.07-2.12
9 O 0.6447 0.6906 0.1570  1 Mg 2.05, 2 Sb 2.07-2.12
10 O 0.6667 0.3333 0.4138  1 Sb 2.03
11 O 0.6906 0.0459 0.8430  1 Mg 2.05, 2 Sb 2.07-2.12
12 O 0.9541 0.6447 0.8430  1 Mg 2.05, 2 Sb 2.07-2.12


Entry 5:
A plane-wave DFT calculation with PBE was carried out for an optimized crystal structure of MgSc12Cd4O3.

D(E_F)	23.17	states/eV/cell
total energy	-112.48	eV/f.u.
formation energy (no corrections)	-0.819	eV/atom

Cell: 8.0294 8.0294 8.0294 Å, 109.47 109.47 109.47°
Closest atoms and distances in Å follow each position.
Sites, in units of the cell vectors:
1 Mg 0.0000 0.0000 0.0000  6 Sc 2.56
2 Sc 0.0000 0.2758 0.2758  1 O 2.08
3 Sc 0.0000 0.7242 0.7242  1 O 2.08
4 Sc 0.2500 0.5000 0.7500  2 O 2.32
5 Sc 0.2500 0.7500 0.5000  2 O 2.32
6 Sc 0.2758 0.0000 0.2758  1 O 2.08
7 Sc 0.2758 0.2758 0.0000  1 O 2.08
8 Sc 0.5000 0.2500 0.7500  2 O 2.32
9 Sc 0.5000 0.7500 0.2500  2 O 2.32
10 Sc 0.7242 0.0000 0.7242  1 O 2.08
11 Sc 0.7242 0.7242 0.0000  1 O 2.08
12 Sc 0.7500 0.2500 0.5000  2 O 2.32
13 Sc 0.7500 0.5000 0.2500  2 O 2.32
14 Cd 0.0000 0.0000 0.5000  12 Sc 3.28-3.29
15 Cd 0.0000 0.5000 0.0000  12 Sc 3.28-3.29
16 Cd 0.5000 0.0000 0.0000  12 Sc 3.28-3.29
17 Cd 0.5000 0.5000 0.5000  12 Sc 3.28-3.29
18 O 0.0000 0.5000 0.5000  6 Sc 2.08-2.32
19 O 0.5000 0.0000 0.5000  6 Sc 2.08-2.32
20 O 0.5000 0.5000 0.0000  6 Sc 2.08-2.32


Entry 6:
A plane-wave DFT calculation with PBE was carried out for an optimized crystal structure of Mg6CdSnO8.

D(E_F)	1.30	states/eV/cell
E above lowest polymorph	0.00	kJ/mol of atoms
total energy	-87.79	eV/f.u.
formation energy (no corrections)	-2.102	eV/atom

Cell: 4.5105 4.5105 9.0035 Å, 90.00 90.00 90.00°
Closest atoms and distances in Å follow each position.
Sites, in units of the cell vectors:
1 Mg 0.0000 0.0000 0.0000  6 O 2.07-2.26
2 Mg 0.0000 0.5000 0.2312  5 O 2.08-2.26
3 Mg 0.0000 0.5000 0.7688  5 O 2.08-2.26
4 Mg 0.5000 0.0000 0.2312  5 O 2.08-2.26
5 Mg 0.5000 0.0000 0.7688  5 O 2.08-2.26
6 Mg 0.5000 0.5000 0.0000  6 O 2.03-2.26
7 Cd 0.0000 0.0000 0.5000  6 O 2.26-2.43
8 Sn 0.5000 0.5000 0.5000  6 O 2.26-2.47
9 O 0.0000 0.0000 0.2302  5 Mg 2.07-2.26
10 O 0.0000 0.0000 0.7698  5 Mg 2.07-2.26
11 O 0.0000 0.5000 0.0000  6 Mg 2.08-2.26
12 O 0.0000 0.5000 0.5000  2 Cd 2.26, 2 Sn 2.26, 2 Mg 2.42
13 O 0.5000 0.0000 0.0000  6 Mg 2.08-2.26
14 O 0.5000 0.0000 0.5000  2 Cd 2.26, 2 Sn 2.26, 2 Mg 2.42
15 O 0.5000 0.5000 0.2259  5 Mg 2.03-2.26
16 O 0.5000 0.5000 0.7741  5 Mg 2.03-2.26